# Ca3Si | Alexandria via LeMat-Bulk | GGA-PBEsol | relaxed
data_Ca3Si
_chemical_formula_sum 'Ca12 Si4'
_space_group_name_H-M_alt 'P n m a'
_space_group_IT_number 62
_cell_length_a 7.7573
_cell_length_b 9.6355
_cell_length_c 6.5569
_cell_angle_alpha 90.00
_cell_angle_beta 90.00
_cell_angle_gamma 90.00
loop_
_space_group_symop_operation_xyz
'x,y,z'
'-x,-y,-z'
'-x+1/2,-y,z+1/2'
'x+1/2,y,-z+1/2'
'x+1/2,-y+1/2,-z+1/2'
'-x+1/2,y+1/2,z+1/2'
'-x,y+1/2,-z'
'x,-y+1/2,z'
loop_
_atom_site_label
_atom_site_fract_x
_atom_site_fract_y
_atom_site_fract_z
Ca1 0.0319 0.2500 0.1127
Ca2 0.1765 0.0588 0.6724
Si1 0.1090 0.7500 0.4584
# Offset from the most stable computed form: 0 meV/atom
# E_form (uncorrected): -1.22 eV/f.u.
# N(E_F): 0.6354 states/eV/atom
# Electronic total energy: -0.1228 Ha/atom

---

# BeCu3Bi | Alexandria via LeMat-Bulk | GGA-PBEsol | relaxed
data_BeCu3Bi
_chemical_formula_sum 'Be1 Cu3 Bi1'
_space_group_name_H-M_alt 'P m -3 m'
_space_group_IT_number 221
_space_group_name_Hall '-P 4 2 3'
_cell_length_a 4.2023
_cell_length_b 4.2023
_cell_length_c 4.2023
_cell_angle_alpha 90.00
_cell_angle_beta 90.00
_cell_angle_gamma 90.00
loop_
_atom_site_label
_atom_site_fract_x
_atom_site_fract_y
_atom_site_fract_z
Be1 0.0000 0.0000 0.0000
Cu1 0.0000 0.0000 0.5000
Bi1 0.5000 0.5000 0.5000
# DFT formation energy: 35.4 kJ/mol of atoms
# N(E_F): 0.3350 states/eV/atom
# Electronic total energy: -0.1430 Ha/atom

---

# Fe2TeIr | Alexandria via LeMat-Bulk | GGA-PBEsol | relaxed
data_Fe2TeIr
_chemical_formula_sum 'Fe2 Te1 Ir1'
_space_group_name_H-M_alt 'P 1 2/m 1'
_space_group_IT_number 10
_cell_length_a 2.9411
_cell_length_b 3.7957
_cell_length_c 5.2783
_cell_angle_alpha 90.00
_cell_angle_beta 90.09
_cell_angle_gamma 90.00
loop_
_space_group_symop_operation_xyz
'x,y,z'
'-x,-y,-z'
'-x,y,-z'
'x,-y,z'
loop_
_atom_site_label
_atom_site_fract_x
_atom_site_fract_y
_atom_site_fract_z
Fe1 0.0002 0.0000 0.2290
Te1 0.5000 0.5000 0.5000
Ir1 0.5000 0.5000 0.0000
# E_form (uncorrected): 1.51 eV/f.u.
# N(E_F): 0.9788 states/eV/atom
# Electronic total energy: -0.2735 Ha/atom

---

# HgRhCl | Alexandria via LeMat-Bulk | GGA-PBEsol | relaxed
data_HgRhCl
_chemical_formula_sum 'Hg4 Rh4 Cl4'
_space_group_name_H-M_alt 'F -4 3 m'
_space_group_IT_number 216
_space_group_name_Hall 'F -4 2 3'
_cell_length_a 6.3790
_cell_length_b 6.3790
_cell_length_c 6.3790
_cell_angle_alpha 90.00
_cell_angle_beta 90.00
_cell_angle_gamma 90.00
loop_
_atom_site_label
_atom_site_fract_x
_atom_site_fract_y
_atom_site_fract_z
Hg1 0.0000 0.0000 0.0000
Rh1 0.2500 0.2500 0.7500
Cl1 0.2500 0.2500 0.2500
# E_form (uncorrected): 2.41 eV/f.u.
# N(E_F): 1.1921 states/eV/atom
# Electronic total energy: -0.1017 Ha/atom

---

# InFeSiRu2 | Alexandria via LeMat-Bulk | GGA-PBEsol | relaxed
data_InFeSiRu2
_chemical_formula_sum 'In1 Fe1 Si1 Ru2'
_space_group_name_H-M_alt 'P 4/m m m'
_space_group_IT_number 123
_space_group_name_Hall '-P 4 2'
_cell_length_a 4.3744
_cell_length_b 4.3744
_cell_length_c 4.1729
_cell_angle_alpha 90.00
_cell_angle_beta 90.00
_cell_angle_gamma 90.00
loop_
_atom_site_label
_atom_site_fract_x
_atom_site_fract_y
_atom_site_fract_z
In1 0.0000 0.0000 0.0000
Fe1 0.5000 0.5000 0.0000
Si1 0.5000 0.5000 0.5000
Ru1 0.0000 0.5000 0.5000
# E_form (uncorrected): 2.18 eV/f.u.
# N(E_F): 0.7145 states/eV/atom
# Electronic total energy: -0.2635 Ha/atom

---

# RbZn2SbMo | Alexandria via LeMat-Bulk | GGA-PBEsol | relaxed
data_RbZn2SbMo
_chemical_formula_sum 'Rb1 Zn2 Sb1 Mo1'
_space_group_name_H-M_alt 'P 4/m m m'
_space_group_IT_number 123
_space_group_name_Hall '-P 4 2'
_cell_length_a 5.4304
_cell_length_b 5.4304
_cell_length_c 6.3130
_cell_angle_alpha 90.00
_cell_angle_beta 90.00
_cell_angle_gamma 90.00
loop_
_atom_site_label
_atom_site_fract_x
_atom_site_fract_y
_atom_site_fract_z
Rb1 0.0000 0.0000 0.0000
Zn1 0.0000 0.5000 0.0000
Sb1 0.0000 0.0000 0.5000
Mo1 0.5000 0.5000 0.5000
# E_form (uncorrected): 10.30 eV/f.u.
# N(E_F): 0.5940 states/eV/atom
# Electronic total energy: -0.0751 Ha/atom

---

# BeNb2PdO | Alexandria via LeMat-Bulk | GGA-PBEsol | relaxed
data_BeNb2PdO
_chemical_formula_sum 'Be1 Nb2 Pd1 O1'
_space_group_name_H-M_alt 'P 4/m m m'
_space_group_IT_number 123
_space_group_name_Hall '-P 4 2'
_cell_length_a 4.4203
_cell_length_b 4.4203
_cell_length_c 3.2897
_cell_angle_alpha 90.00
_cell_angle_beta 90.00
_cell_angle_gamma 90.00
loop_
_atom_site_label
_atom_site_fract_x
_atom_site_fract_y
_atom_site_fract_z
Be1 0.0000 0.0000 0.0000
Nb1 0.0000 0.5000 0.5000
Pd1 0.5000 0.5000 0.0000
O1 0.0000 0.0000 0.5000
# E_form (uncorrected): -3.12 eV/f.u.
# N(E_F): 0.9503 states/eV/atom
# Electronic total energy: -0.2938 Ha/atom

---

# IrOsSCl2 | Alexandria via LeMat-Bulk | GGA-PBEsol | relaxed
data_IrOsSCl2
_chemical_formula_sum 'Ir1 Os1 S1 Cl2'
_space_group_name_H-M_alt 'P 4/m m m'
_space_group_IT_number 123
_space_group_name_Hall '-P 4 2'
_cell_length_a 4.7006
_cell_length_b 4.7006
_cell_length_c 4.4079
_cell_angle_alpha 90.00
_cell_angle_beta 90.00
_cell_angle_gamma 90.00
loop_
_atom_site_label
_atom_site_fract_x
_atom_site_fract_y
_atom_site_fract_z
Ir1 0.0000 0.0000 0.0000
Os1 0.5000 0.5000 0.5000
S1 0.5000 0.5000 0.0000
Cl1 0.0000 0.5000 0.5000
# E_form (uncorrected): 6.71 eV/f.u.
# N(E_F): 1.5761 states/eV/atom
# Electronic total energy: -0.1744 Ha/atom

---

N(E_F) of number 8 (IrOsSCl2)?
1.5761 states/eV/atom